The following is a PBE-GGA calculation of an optimized crystal structure of NdDyAg, from the Alexandria database.

a b c (Å): 5.099 5.113 7.224
angles (deg): 90.00 90.00 90.00
Space group Imm2 (No. 44)
One atom of each set of equivalent atoms:
1 Nd 0.000 0.000 0.000 x2
2 Dy 0.000 0.000 0.500 x2
3 Ag 0.000 0.500 0.250 x2

Properties
**Spin magnetization**: 0.64 μB/cell
**Formation enthalpy at 0 K**: 0.073 eV/atom